! HoLuNi | Alexandria via LeMat-Bulk | PBE | optimized geometry; values from VASP
! - E_form: -4.6 kcal/mol of atoms
! - Calculated density: 9.2 g/cm³
! - E above lowest polymorph: 87 meV/atom
! - Raw total energy: -5.1597 eV/atom
! - Magnetic moment: 0.00 μB per cell
&SYSTEM
  ibrav = 0, nat = 3, ntyp = 3
/
ATOMIC_SPECIES
Ni 58.69 Ni.upf
Lu 174.97 Lu.upf
Ho 164.93 Ho.upf
CELL_PARAMETERS angstrom
-0.656 -3.922 -2.456
-1.415 -3.898 2.156
-4.327 -1.621 -0.704
ATOMIC_POSITIONS crystal
Ni 0.250 0.250 0.250
Lu 0.000 0.000 0.000
Ho 0.500 0.500 0.500